# 1
DFT (PBE) results for crystalline LiCoRe2 at its relaxed geometry.

Summary:
- energy relative to the lowest polymorph listed for this composition (meV per atom) = 652.7
- density of states at the Fermi level (states/eV per cell) = 9.24
- total magnetic moment (μB/cell) = 0.00
- ΔE_f (eV per atom) = 0.81

a b c (Å): 7.088 7.088 5.552
angles (deg): 50.34 50.34 90.00
Element x y z (fractional)
1 Re 0.682 0.125 0.250
2 Re 0.068 0.625 0.250
3 Re 0.375 0.318 0.750
4 Re 0.875 0.932 0.750
5 Co 0.000 0.000 0.000
6 Co 0.750 0.250 0.500
7 Li 0.500 0.500 0.000
8 Li 0.250 0.750 0.500

=====

# 2
DFT (PBE) results for crystalline LiCoRe2 at its relaxed geometry.

Summary:
- energy relative to the lowest polymorph listed for this composition (meV per atom) = 125.4
- density of states at the Fermi level (states/eV per cell) = 3.74
- total magnetic moment (μB/cell) = 1.37
- ΔE_f (eV per atom) = 0.29

a b c (Å): 2.630 2.630 8.802
angles (deg): 90.00 90.00 111.88
Element x y z (fractional)
1 Co 0.000 0.000 0.494
2 Li 0.500 0.500 0.739
3 Re 0.000 0.000 0.006
4 Re 0.500 0.500 0.261

=====

# 3
DFT (PBE) results for crystalline LiCoRe2 at its relaxed geometry.

Summary:
- energy relative to the lowest polymorph listed for this composition (meV per atom) = 193.8
- density of states at the Fermi level (states/eV per cell) = 4.06
- total magnetic moment (μB/cell) = 1.20
- ΔE_f (eV per atom) = 0.35

a b c (Å): 3.979 3.632 3.632
angles (deg): 90.00 90.00 90.00
Element x y z (fractional)
1 Co 0.500 0.500 0.000
2 Li 0.500 0.000 0.500
3 Re 0.000 0.000 0.000
4 Re 0.000 0.500 0.500

=====

# 4
DFT (PBE) results for crystalline LiCoRe2 at its relaxed geometry.

Summary:
- energy relative to the lowest polymorph listed for this composition (meV per atom) = 0.0
- density of states at the Fermi level (states/eV per cell) = 1.64
- total magnetic moment (μB/cell) = 0.00
- ΔE_f (eV per atom) = 0.16

a b c (Å): 4.198 4.198 4.198
angles (deg): 60.00 60.00 60.00
Element x y z (fractional)
1 Co 0.500 0.500 0.500
2 Li 0.750 0.750 0.750
3 Re 0.000 0.000 0.000
4 Re 0.250 0.250 0.250

=====

# 5
DFT (PBE) results for crystalline LiCo2Re2 at its relaxed geometry.

Summary:
- energy relative to the lowest polymorph listed for this composition (meV per atom) = 46.0
- density of states at the Fermi level (states/eV per cell) = 10.33
- total magnetic moment (μB/cell) = 0.00
- ΔE_f (eV per atom) = 0.23

a b c (Å): 7.212 7.212 2.592
angles (deg): 90.00 90.00 90.00
Element x y z (fractional)
1 Re 0.171 0.671 0.500
2 Re 0.671 0.829 0.500
3 Re 0.829 0.329 0.500
4 Re 0.329 0.171 0.500
5 Co 0.378 0.878 0.000
6 Co 0.878 0.622 0.000
7 Co 0.622 0.122 0.000
8 Co 0.122 0.378 0.000
9 Li 0.000 0.000 0.000
10 Li 0.500 0.500 0.000

=====

# 6
DFT (PBE) results for crystalline Li2CoRe at its relaxed geometry.

Summary:
- energy relative to the lowest polymorph listed for this composition (meV per atom) = 708.0
- density of states at the Fermi level (states/eV per cell) = 9.36
- total magnetic moment (μB/cell) = 1.78
- ΔE_f (eV per atom) = 0.89

a b c (Å): 6.586 6.586 5.215
angles (deg): 50.84 50.84 90.00
Element x y z (fractional)
1 Re 0.000 0.000 0.000
2 Re 0.750 0.250 0.500
3 Co 0.500 0.500 0.000
4 Co 0.250 0.750 0.500
5 Li 0.601 0.125 0.250
6 Li 0.149 0.625 0.250
7 Li 0.375 0.399 0.750
8 Li 0.875 0.851 0.750

=====

# 7
DFT (PBE) results for crystalline LiCo2Re2 at its relaxed geometry.

Summary:
- energy relative to the lowest polymorph listed for this composition (meV per atom) = 262.8
- density of states at the Fermi level (states/eV per cell) = 4.26
- total magnetic moment (μB/cell) = 0.00
- ΔE_f (eV per atom) = 0.45

a b c (Å): 3.832 3.832 5.745
angles (deg): 70.52 70.52 90.00
Element x y z (fractional)
1 Re 0.750 0.250 0.500
2 Re 0.250 0.750 0.500
3 Co 0.396 0.396 0.208
4 Co 0.604 0.604 0.792
5 Li 0.000 0.000 0.000

=====

# 8
DFT (PBE) results for crystalline Li2CoRe at its relaxed geometry.

Summary:
- energy relative to the lowest polymorph listed for this composition (meV per atom) = 74.1
- density of states at the Fermi level (states/eV per cell) = 3.41
- total magnetic moment (μB/cell) = 0.73
- ΔE_f (eV per atom) = 0.25

a b c (Å): 4.601 2.512 4.478
angles (deg): 86.26 90.00 90.00
Element x y z (fractional)
1 Co 0.500 0.750 0.750
2 Li 0.000 0.939 0.999
3 Li 0.000 0.561 0.501
4 Re 0.500 0.250 0.250

=====

# 9
DFT (PBE) results for crystalline LiCoRe2 at its relaxed geometry.

Summary:
- energy relative to the lowest polymorph listed for this composition (meV per atom) = 77.9
- density of states at the Fermi level (states/eV per cell) = 4.05
- total magnetic moment (μB/cell) = 0.03
- ΔE_f (eV per atom) = 0.24

a b c (Å): 4.783 4.783 4.551
angles (deg): 77.23 77.23 32.41
Element x y z (fractional)
1 Co 0.750 0.750 0.750
2 Li 0.250 0.250 0.250
3 Re 0.020 0.020 0.988
4 Re 0.480 0.480 0.512

=====

# 10
DFT (PBE) results for crystalline Li2CoRe at its relaxed geometry.

Summary:
- energy relative to the lowest polymorph listed for this composition (meV per atom) = 480.5
- density of states at the Fermi level (states/eV per cell) = 3.40
- total magnetic moment (μB/cell) = 1.77
- ΔE_f (eV per atom) = 0.66

a b c (Å): 4.532 4.532 2.458
angles (deg): 90.00 90.00 90.00
Element x y z (fractional)
1 Co 0.000 0.500 0.500
2 Li 0.000 0.000 0.000
3 Li 0.500 0.500 0.000
4 Re 0.500 0.000 0.500

=====

# 11
DFT (PBE) results for crystalline LiCo2Re2 at its relaxed geometry.

Summary:
- energy relative to the lowest polymorph listed for this composition (meV per atom) = 0.0
- density of states at the Fermi level (states/eV per cell) = 7.14
- total magnetic moment (μB/cell) = 0.00
- ΔE_f (eV per atom) = 0.19

a b c (Å): 7.384 7.384 2.552
angles (deg): 90.00 90.00 90.00
Element x y z (fractional)
1 Re 0.374 0.874 0.000
2 Re 0.874 0.626 0.000
3 Re 0.626 0.126 0.000
4 Re 0.126 0.374 0.000
5 Co 0.167 0.667 0.500
6 Co 0.667 0.833 0.500
7 Co 0.833 0.333 0.500
8 Co 0.333 0.167 0.500
9 Li 0.000 0.000 0.000
10 Li 0.500 0.500 0.000

=====

# 12
DFT (PBE) results for crystalline Li2CoRe at its relaxed geometry.

Summary:
- energy relative to the lowest polymorph listed for this composition (meV per atom) = 241.9
- density of states at the Fermi level (states/eV per cell) = 4.49
- total magnetic moment (μB/cell) = 0.00
- ΔE_f (eV per atom) = 0.42

a b c (Å): 5.086 5.086 5.086
angles (deg): 141.04 141.04 56.28
Element x y z (fractional)
1 Co 0.750 0.250 0.500
2 Li 0.000 0.000 0.000
3 Li 0.500 0.500 0.000
4 Re 0.250 0.750 0.500

=====

# 13
DFT (PBE) results for crystalline LiCoRe2 at its relaxed geometry.

Summary:
- energy relative to the lowest polymorph listed for this composition (meV per atom) = 94.6
- density of states at the Fermi level (states/eV per cell) = 2.87
- total magnetic moment (μB/cell) = 0.64
- ΔE_f (eV per atom) = 0.26

a b c (Å): 4.102 2.579 5.105
angles (deg): 75.82 90.00 90.00
Element x y z (fractional)
1 Co 0.500 0.250 0.250
2 Li 0.500 0.750 0.750
3 Re 0.000 0.999 0.997
4 Re 0.000 0.501 0.503

=====

# 14
DFT (PBE) results for crystalline Li2CoRe at its relaxed geometry.

Summary:
- energy relative to the lowest polymorph listed for this composition (meV per atom) = 88.3
- density of states at the Fermi level (states/eV per cell) = 3.57
- total magnetic moment (μB/cell) = 1.54
- ΔE_f (eV per atom) = 0.27

a b c (Å): 2.593 2.593 9.207
angles (deg): 90.00 90.00 118.17
Element x y z (fractional)
1 Co 0.500 0.500 0.750
2 Li 0.000 0.000 0.991
3 Li 0.000 0.000 0.509
4 Re 0.500 0.500 0.250

=====

# 15
DFT (PBE) results for crystalline LiCoRe4 at its relaxed geometry.

Summary:
- density of states at the Fermi level (states/eV per cell) = 6.24
- total magnetic moment (μB/cell) = 2.01
- ΔE_f (eV per atom) = 0.63

a b c (Å): 5.141 5.141 5.141
angles (deg): 60.00 60.00 60.00
Element x y z (fractional)
1 Li 0.000 0.000 0.000
2 Co 0.250 0.250 0.250
3 Re 0.625 0.625 0.125
4 Re 0.625 0.125 0.625
5 Re 0.625 0.625 0.625
6 Re 0.125 0.625 0.625

=====

# 16
DFT (PBE) results for crystalline LiCoRe2 at its relaxed geometry.

Summary:
- energy relative to the lowest polymorph listed for this composition (meV per atom) = 84.4
- density of states at the Fermi level (states/eV per cell) = 3.39
- total magnetic moment (μB/cell) = 0.00
- ΔE_f (eV per atom) = 0.25

a b c (Å): 4.545 4.545 4.714
angles (deg): 83.41 83.41 33.09
Element x y z (fractional)
1 Co 0.489 0.489 0.482
2 Li 0.245 0.245 0.263
3 Re 0.003 0.003 0.005
4 Re 0.763 0.763 0.750

=====

# 17
DFT (PBE) results for crystalline Li2CoRe at its relaxed geometry.

Summary:
- energy relative to the lowest polymorph listed for this composition (meV per atom) = 185.1
- density of states at the Fermi level (states/eV per cell) = 2.95
- total magnetic moment (μB/cell) = 0.54
- ΔE_f (eV per atom) = 0.37

a b c (Å): 5.024 5.024 2.506
angles (deg): 90.00 90.00 124.00
Element x y z (fractional)
1 Co 0.000 0.500 0.500
2 Li 0.000 0.000 0.000
3 Li 0.500 0.500 0.000
4 Re 0.500 0.000 0.500

=====

# 18
DFT (PBE) results for crystalline LiCoRe2 at its relaxed geometry.

Summary:
- energy relative to the lowest polymorph listed for this composition (meV per atom) = 113.4
- density of states at the Fermi level (states/eV per cell) = 2.21
- total magnetic moment (μB/cell) = 0.00
- ΔE_f (eV per atom) = 0.27

a b c (Å): 2.571 2.571 8.484
angles (deg): 90.00 90.00 102.78
Element x y z (fractional)
1 Co 0.500 0.500 0.250
2 Li 0.500 0.500 0.750
3 Re 0.000 0.000 0.019
4 Re 0.000 0.000 0.481

=====

# 19
DFT (PBE) results for crystalline LiCoRe2 at its relaxed geometry.

Summary:
- energy relative to the lowest polymorph listed for this composition (meV per atom) = 360.0
- density of states at the Fermi level (states/eV per cell) = 6.74
- total magnetic moment (μB/cell) = 0.00
- ΔE_f (eV per atom) = 0.52

a b c (Å): 4.140 4.140 4.140
angles (deg): 60.00 60.00 60.00
Element x y z (fractional)
1 Re 0.250 0.250 0.250
2 Re 0.750 0.750 0.750
3 Co 0.500 0.500 0.500
4 Li 0.000 0.000 0.000

=====

# 20
DFT (PBE) results for crystalline Li2CoRe at its relaxed geometry.

Summary:
- energy relative to the lowest polymorph listed for this composition (meV per atom) = 145.7
- density of states at the Fermi level (states/eV per cell) = 3.10
- total magnetic moment (μB/cell) = 1.47
- ΔE_f (eV per atom) = 0.33

a b c (Å): 2.488 2.488 8.694
angles (deg): 90.00 90.00 90.00
Element x y z (fractional)
1 Co 0.500 0.500 0.750
2 Li 0.000 0.000 0.989
3 Li 0.000 0.000 0.511
4 Re 0.500 0.500 0.250